Entry 1:
Nd6Ga2Pd: optimized geometry, PBE-GGA.

Calculated values
SG: P2_1/c, No. 14

a = 6.1794 Å, b = 8.5873 Å, c = 11.4039 Å
α = 90.00°, β = 118.98°, γ = 90.00°
Last column: nearest neighbours and their distance in Å.
Sites, in units of the cell vectors:
Nd (0.0659, 0.1665, 0.4422)  1 Pd 3.01, 3 Ga 3.12-3.29
Nd (0.0659, 0.3335, 0.9422)  1 Pd 3.01, 3 Ga 3.12-3.29
Nd (0.3375, 0.6800, 0.4392)  1 Pd 2.94, 1 Ga 3.21
Nd (0.3375, 0.8200, 0.9392)  1 Pd 2.94, 1 Ga 3.21
Nd (0.3864, 0.0350, 0.2684)  1 Pd 2.84, 2 Ga 3.16-3.17
Nd (0.3864, 0.4650, 0.7684)  1 Pd 2.84, 2 Ga 3.16-3.17
Nd (0.6136, 0.5350, 0.2316)  1 Pd 2.84, 2 Ga 3.16-3.17
Nd (0.6136, 0.9650, 0.7316)  1 Pd 2.84, 2 Ga 3.16-3.17
Nd (0.6625, 0.1800, 0.0608)  1 Pd 2.94, 1 Ga 3.21
Nd (0.6625, 0.3200, 0.5608)  1 Pd 2.94, 1 Ga 3.21
Nd (0.9341, 0.6665, 0.0578)  1 Pd 3.01, 3 Ga 3.12-3.29
Nd (0.9341, 0.8335, 0.5578)  1 Pd 3.01, 3 Ga 3.12-3.29
Ga (0.1729, 0.1250, 0.7526)  8 Nd 3.12-3.38
Ga (0.1729, 0.3750, 0.2526)  8 Nd 3.12-3.38
Ga (0.8271, 0.6250, 0.7474)  8 Nd 3.12-3.38
Ga (0.8271, 0.8750, 0.2474)  8 Nd 3.12-3.38
Pd (0.0000, 0.0000, 0.0000)  6 Nd 2.84-3.01
Pd (0.0000, 0.5000, 0.5000)  6 Nd 2.84-3.01

=====

Entry 2:
NdGa2Pd7: optimized geometry, PBE-GGA.

Calculated values
SG: Cmmm, No. 65

a = 7.1065 Å, b = 7.1065 Å, c = 4.6096 Å
α = 90.00°, β = 90.00°, γ = 117.94°
Last column: nearest neighbours and their distance in Å.
Sites, in units of the cell vectors:
Nd (0.0000, 0.0000, 0.0000)  10 Pd 2.83-3.07
Ga (0.2998, 0.7002, 0.5000)  7 Pd 2.44-2.57
Ga (0.7002, 0.2998, 0.5000)  7 Pd 2.44-2.57
Pd (0.0664, 0.3101, 0.5000)  2 Ga 2.48-2.57, 2 Pd 2.72-2.76
Pd (0.2321, 0.7679, 0.0000)  2 Ga 2.45
Pd (0.3101, 0.0664, 0.5000)  2 Ga 2.48-2.57, 2 Pd 2.72-2.76
Pd (0.5000, 0.5000, 0.5000)  2 Ga 2.44, 4 Pd 2.72
Pd (0.6899, 0.9336, 0.5000)  2 Ga 2.48-2.57, 2 Pd 2.72-2.76
Pd (0.7679, 0.2321, 0.0000)  2 Ga 2.45
Pd (0.9336, 0.6899, 0.5000)  2 Ga 2.48-2.57, 2 Pd 2.72-2.76

=====

Calculated volume, 29.409 20.566 Å³ per atom (same order as the records).
Calculated calculated formation energy, -0.340 -0.283 eV per atom (same order as the records).